# SrTlNi2 (GGA-PBEsol, optimized geometry)
# space group	I-4m2
# ΔH_f (0 K)	7.0	kcal/mol of atoms
# energy relative to the lowest polymorph listed for this composition	0.365	eV/atom
data_SrTlNi2
_chemical_formula_sum 'Sr1 Tl1 Ni2'
_cell_length_a 5.451
_cell_length_b 5.451
_cell_length_c 5.451
_cell_angle_alpha 136.90
_cell_angle_beta 136.90
_cell_angle_gamma 62.60
_symmetry_space_group_name_H-M 'P 1'
_symmetry_Int_Tables_number 1
loop_
_symmetry_equiv_pos_as_xyz
'x,y,z'
loop_
_atom_site_label
_atom_site_type_symbol
_atom_site_fract_x
_atom_site_fract_y
_atom_site_fract_z
Sr1 Sr 0.000 0.000 0.000
Tl1 Tl 0.750 0.250 0.500
Ni1 Ni 0.250 0.750 0.500
Ni2 Ni 0.500 0.500 0.000

# SrTl2Ni (GGA-PBEsol, optimized geometry)
# space group	P4/mmm
# ΔH_f (0 K)	2.4	kcal/mol of atoms
data_SrTl2Ni
_chemical_formula_sum 'Sr1 Tl2 Ni1'
_cell_length_a 4.442
_cell_length_b 4.442
_cell_length_c 4.900
_cell_angle_alpha 90.00
_cell_angle_beta 90.00
_cell_angle_gamma 90.00
_symmetry_space_group_name_H-M 'P 1'
_symmetry_Int_Tables_number 1
loop_
_symmetry_equiv_pos_as_xyz
'x,y,z'
loop_
_atom_site_label
_atom_site_type_symbol
_atom_site_fract_x
_atom_site_fract_y
_atom_site_fract_z
Sr1 Sr 0.000 0.000 0.000
Tl1 Tl 0.000 0.500 0.500
Tl2 Tl 0.500 0.000 0.500
Ni1 Ni 0.500 0.500 0.000

# Sr2TlNi (GGA-PBEsol, optimized geometry)
# space group	Imm2
# ΔH_f (0 K)	-1.0	kcal/mol of atoms
data_Sr2TlNi
_chemical_formula_sum 'Sr2 Tl1 Ni1'
_cell_length_a 6.333
_cell_length_b 6.333
_cell_length_c 6.333
_cell_angle_alpha 145.11
_cell_angle_beta 129.77
_cell_angle_gamma 62.62
_symmetry_space_group_name_H-M 'P 1'
_symmetry_Int_Tables_number 1
loop_
_symmetry_equiv_pos_as_xyz
'x,y,z'
loop_
_atom_site_label
_atom_site_type_symbol
_atom_site_fract_x
_atom_site_fract_y
_atom_site_fract_z
Sr1 Sr 0.000 0.000 0.000
Sr2 Sr 0.696 0.196 0.500
Tl1 Tl 0.293 0.793 0.500
Ni1 Ni 0.455 0.455 0.000

# SrTl2Ni (GGA-PBEsol, optimized geometry)
# space group	P4/mmm
# ΔH_f (0 K)	-1.3	kcal/mol of atoms
data_SrTl2Ni
_chemical_formula_sum 'Sr1 Tl2 Ni1'
_cell_length_a 3.428
_cell_length_b 3.428
_cell_length_c 7.724
_cell_angle_alpha 90.00
_cell_angle_beta 90.00
_cell_angle_gamma 90.00
_symmetry_space_group_name_H-M 'P 1'
_symmetry_Int_Tables_number 1
loop_
_symmetry_equiv_pos_as_xyz
'x,y,z'
loop_
_atom_site_label
_atom_site_type_symbol
_atom_site_fract_x
_atom_site_fract_y
_atom_site_fract_z
Sr1 Sr 0.000 0.000 0.000
Tl1 Tl 0.500 0.500 0.308
Tl2 Tl 0.500 0.500 0.692
Ni1 Ni 0.000 0.000 0.500

# SrTlNi2 (GGA-PBEsol, optimized geometry)
# space group	P4mm
# ΔH_f (0 K)	3.5	kcal/mol of atoms
# energy relative to the lowest polymorph listed for this composition	0.212	eV/atom
data_SrTlNi2
_chemical_formula_sum 'Sr1 Tl1 Ni2'
_cell_length_a 3.261
_cell_length_b 3.261
_cell_length_c 7.198
_cell_angle_alpha 90.00
_cell_angle_beta 90.00
_cell_angle_gamma 90.00
_symmetry_space_group_name_H-M 'P 1'
_symmetry_Int_Tables_number 1
loop_
_symmetry_equiv_pos_as_xyz
'x,y,z'
loop_
_atom_site_label
_atom_site_type_symbol
_atom_site_fract_x
_atom_site_fract_y
_atom_site_fract_z
Sr1 Sr 0.000 0.000 0.000
Tl1 Tl 0.500 0.500 0.359
Ni1 Ni 0.000 0.000 0.604
Ni2 Ni 0.500 0.500 0.716

# SrTlNi2 (GGA-PBEsol, optimized geometry)
# space group	Fm-3m
# ΔH_f (0 K)	4.9	kcal/mol of atoms
# energy relative to the lowest polymorph listed for this composition	0.274	eV/atom
data_SrTlNi2
_chemical_formula_sum 'Sr1 Tl1 Ni2'
_cell_length_a 4.699
_cell_length_b 4.699
_cell_length_c 4.699
_cell_angle_alpha 60.00
_cell_angle_beta 60.00
_cell_angle_gamma 60.00
_symmetry_space_group_name_H-M 'P 1'
_symmetry_Int_Tables_number 1
loop_
_symmetry_equiv_pos_as_xyz
'x,y,z'
loop_
_atom_site_label
_atom_site_type_symbol
_atom_site_fract_x
_atom_site_fract_y
_atom_site_fract_z
Sr1 Sr 0.000 0.000 0.000
Tl1 Tl 0.500 0.500 0.500
Ni1 Ni 0.250 0.250 0.250
Ni2 Ni 0.750 0.750 0.750

# SrNi2W (GGA-PBEsol, optimized geometry)
# space group	Pmmm
# ΔH_f (0 K)	6.8	kcal/mol of atoms
# energy relative to the lowest polymorph listed for this composition	0.000	eV/atom
data_SrNi2W
_chemical_formula_sum 'Sr1 Ni2 W1'
_cell_length_a 2.918
_cell_length_b 3.264
_cell_length_c 7.072
_cell_angle_alpha 90.00
_cell_angle_beta 90.00
_cell_angle_gamma 90.00
_symmetry_space_group_name_H-M 'P 1'
_symmetry_Int_Tables_number 1
loop_
_symmetry_equiv_pos_as_xyz
'x,y,z'
loop_
_atom_site_label
_atom_site_type_symbol
_atom_site_fract_x
_atom_site_fract_y
_atom_site_fract_z
Sr1 Sr 0.000 0.000 0.000
Ni1 Ni 0.500 0.500 0.321
Ni2 Ni 0.500 0.500 0.679
W1 W 0.000 0.000 0.500

# SrNi2W (GGA-PBEsol, optimized geometry)
# space group	Imm2
# ΔH_f (0 K)	15.1	kcal/mol of atoms
# energy relative to the lowest polymorph listed for this composition	0.361	eV/atom
data_SrNi2W
_chemical_formula_sum 'Sr1 Ni2 W1'
_cell_length_a 5.732
_cell_length_b 5.732
_cell_length_c 5.732
_cell_angle_alpha 152.62
_cell_angle_beta 132.14
_cell_angle_gamma 56.01
_symmetry_space_group_name_H-M 'P 1'
_symmetry_Int_Tables_number 1
loop_
_symmetry_equiv_pos_as_xyz
'x,y,z'
loop_
_atom_site_label
_atom_site_type_symbol
_atom_site_fract_x
_atom_site_fract_y
_atom_site_fract_z
Sr1 Sr 0.000 0.000 0.000
Ni1 Ni 0.512 0.512 0.000
Ni2 Ni 0.725 0.225 0.500
W1 W 0.292 0.792 0.500

# SrNi2W (GGA-PBEsol, optimized geometry)
# space group	Pmm2
# ΔH_f (0 K)	12.4	kcal/mol of atoms
# energy relative to the lowest polymorph listed for this composition	0.245	eV/atom
data_SrNi2W
_chemical_formula_sum 'Sr1 Ni2 W1'
_cell_length_a 2.790
_cell_length_b 3.395
_cell_length_c 7.113
_cell_angle_alpha 90.00
_cell_angle_beta 90.00
_cell_angle_gamma 90.00
_symmetry_space_group_name_H-M 'P 1'
_symmetry_Int_Tables_number 1
loop_
_symmetry_equiv_pos_as_xyz
'x,y,z'
loop_
_atom_site_label
_atom_site_type_symbol
_atom_site_fract_x
_atom_site_fract_y
_atom_site_fract_z
Sr1 Sr 0.000 0.000 0.000
Ni1 Ni 0.000 0.000 0.536
Ni2 Ni 0.500 0.500 0.701
W1 W 0.500 0.500 0.363

# SrY2Ni (GGA-PBEsol, optimized geometry)
# space group	Pmmm
# ΔH_f (0 K)	8.1	kcal/mol of atoms
data_SrY2Ni
_chemical_formula_sum 'Sr1 Y2 Ni1'
_cell_length_a 3.942
_cell_length_b 5.154
_cell_length_c 5.162
_cell_angle_alpha 90.00
_cell_angle_beta 90.00
_cell_angle_gamma 90.00
_symmetry_space_group_name_H-M 'P 1'
_symmetry_Int_Tables_number 1
loop_
_symmetry_equiv_pos_as_xyz
'x,y,z'
loop_
_atom_site_label
_atom_site_type_symbol
_atom_site_fract_x
_atom_site_fract_y
_atom_site_fract_z
Sr1 Sr 0.000 0.000 0.000
Y1 Y 0.000 0.500 0.500
Y2 Y 0.500 0.500 0.000
Ni1 Ni 0.500 0.000 0.500

# Sr2ZnNi (GGA-PBEsol, optimized geometry)
# space group	R3m
# ΔH_f (0 K)	-3.5	kcal/mol of atoms
# energy relative to the lowest polymorph listed for this composition	0.000	eV/atom
data_Sr2ZnNi
_chemical_formula_sum 'Sr2 Zn1 Ni1'
_cell_length_a 8.128
_cell_length_b 8.128
_cell_length_c 8.128
_cell_angle_alpha 30.12
_cell_angle_beta 30.12
_cell_angle_gamma 30.12
_symmetry_space_group_name_H-M 'P 1'
_symmetry_Int_Tables_number 1
loop_
_symmetry_equiv_pos_as_xyz
'x,y,z'
loop_
_atom_site_label
_atom_site_type_symbol
_atom_site_fract_x
_atom_site_fract_y
_atom_site_fract_z
Sr1 Sr 0.000 0.000 0.000
Sr2 Sr 0.172 0.172 0.172
Zn1 Zn 0.419 0.419 0.419
Ni1 Ni 0.753 0.753 0.753

# SrZnNi (GGA-PBEsol, optimized geometry)
# space group	F-43m
# ΔH_f (0 K)	3.6	kcal/mol of atoms
data_SrZnNi
_chemical_formula_sum 'Sr1 Zn1 Ni1'
_cell_length_a 4.554
_cell_length_b 4.554
_cell_length_c 4.554
_cell_angle_alpha 60.00
_cell_angle_beta 60.00
_cell_angle_gamma 60.00
_symmetry_space_group_name_H-M 'P 1'
_symmetry_Int_Tables_number 1
loop_
_symmetry_equiv_pos_as_xyz
'x,y,z'
loop_
_atom_site_label
_atom_site_type_symbol
_atom_site_fract_x
_atom_site_fract_y
_atom_site_fract_z
Sr1 Sr 0.000 0.000 0.000
Zn1 Zn 0.500 0.500 0.500
Ni1 Ni 0.750 0.750 0.750

# SrZnNi (GGA-PBEsol, optimized geometry)
# space group	P-6m2
# ΔH_f (0 K)	-2.5	kcal/mol of atoms
data_SrZnNi
_chemical_formula_sum 'Sr1 Zn1 Ni1'
_cell_length_a 4.158
_cell_length_b 4.158
_cell_length_c 4.309
_cell_angle_alpha 90.00
_cell_angle_beta 90.00
_cell_angle_gamma 120.00
_symmetry_space_group_name_H-M 'P 1'
_symmetry_Int_Tables_number 1
loop_
_symmetry_equiv_pos_as_xyz
'x,y,z'
loop_
_atom_site_label
_atom_site_type_symbol
_atom_site_fract_x
_atom_site_fract_y
_atom_site_fract_z
Sr1 Sr 0.000 0.000 0.000
Zn1 Zn 0.333 0.667 0.500
Ni1 Ni 0.667 0.333 0.500

# Sr2ZnNi (GGA-PBEsol, optimized geometry)
# space group	Amm2
# ΔH_f (0 K)	-2.2	kcal/mol of atoms
# energy relative to the lowest polymorph listed for this composition	0.056	eV/atom
data_Sr2ZnNi
_chemical_formula_sum 'Sr2 Zn1 Ni1'
_cell_length_a 4.310
_cell_length_b 6.112
_cell_length_c 6.112
_cell_angle_alpha 42.53
_cell_angle_beta 90.00
_cell_angle_gamma 90.00
_symmetry_space_group_name_H-M 'P 1'
_symmetry_Int_Tables_number 1
loop_
_symmetry_equiv_pos_as_xyz
'x,y,z'
loop_
_atom_site_label
_atom_site_type_symbol
_atom_site_fract_x
_atom_site_fract_y
_atom_site_fract_z
Sr1 Sr 0.000 0.000 0.000
Sr2 Sr 0.500 0.281 0.281
Zn1 Zn 0.000 0.693 0.693
Ni1 Ni 0.500 0.595 0.595

# Sr2ZnNi (GGA-PBEsol, optimized geometry)
# space group	P4/mmm
# ΔH_f (0 K)	2.0	kcal/mol of atoms
# energy relative to the lowest polymorph listed for this composition	0.236	eV/atom
data_Sr2ZnNi
_chemical_formula_sum 'Sr2 Zn1 Ni1'
_cell_length_a 5.183
_cell_length_b 5.183
_cell_length_c 3.721
_cell_angle_alpha 90.00
_cell_angle_beta 90.00
_cell_angle_gamma 90.00
_symmetry_space_group_name_H-M 'P 1'
_symmetry_Int_Tables_number 1
loop_
_symmetry_equiv_pos_as_xyz
'x,y,z'
loop_
_atom_site_label
_atom_site_type_symbol
_atom_site_fract_x
_atom_site_fract_y
_atom_site_fract_z
Sr1 Sr 0.000 0.500 0.000
Sr2 Sr 0.500 0.000 0.000
Zn1 Zn 0.000 0.000 0.500
Ni1 Ni 0.500 0.500 0.500

# SrZrNi2 (GGA-PBEsol, optimized geometry)
# space group	P4/mmm
# ΔH_f (0 K)	-4.0	kcal/mol of atoms
data_SrZrNi2
_chemical_formula_sum 'Sr1 Zr1 Ni2'
_cell_length_a 3.301
_cell_length_b 3.301
_cell_length_c 7.020
_cell_angle_alpha 90.00
_cell_angle_beta 90.00
_cell_angle_gamma 90.00
_symmetry_space_group_name_H-M 'P 1'
_symmetry_Int_Tables_number 1
loop_
_symmetry_equiv_pos_as_xyz
'x,y,z'
loop_
_atom_site_label
_atom_site_type_symbol
_atom_site_fract_x
_atom_site_fract_y
_atom_site_fract_z
Sr1 Sr 0.000 0.000 0.000
Zr1 Zr 0.000 0.000 0.500
Ni1 Ni 0.500 0.500 0.318
Ni2 Ni 0.500 0.500 0.682

# TaNi3 (GGA-PBEsol, optimized geometry)
# space group	P2_1/m
# ΔH_f (0 K)	-8.8	kcal/mol of atoms
data_TaNi3
_chemical_formula_sum 'Ta4 Ni12'
_cell_length_a 4.484
_cell_length_b 5.056
_cell_length_c 8.534
_cell_angle_alpha 90.00
_cell_angle_beta 100.83
_cell_angle_gamma 90.00
_symmetry_space_group_name_H-M 'P 1'
_symmetry_Int_Tables_number 1
loop_
_symmetry_equiv_pos_as_xyz
'x,y,z'
loop_
_atom_site_label
_atom_site_type_symbol
_atom_site_fract_x
_atom_site_fract_y
_atom_site_fract_z
Ta1 Ta 0.113 0.250 0.378
Ta2 Ta 0.290 0.250 0.873
Ta3 Ta 0.710 0.750 0.127
Ta4 Ta 0.887 0.750 0.622
Ni1 Ni 0.134 0.750 0.376
Ni2 Ni 0.205 0.001 0.123
Ni3 Ni 0.205 0.499 0.123
Ni4 Ni 0.299 0.750 0.873
Ni5 Ni 0.386 0.502 0.627
Ni6 Ni 0.386 0.998 0.627
Ni7 Ni 0.614 0.002 0.373
Ni8 Ni 0.614 0.498 0.373
Ni9 Ni 0.701 0.250 0.127
Ni10 Ni 0.795 0.501 0.877
Ni11 Ni 0.795 0.999 0.877
Ni12 Ni 0.866 0.250 0.624

# Ta2Ni3 (GGA-PBEsol, optimized geometry)
# space group	P-3m1
# ΔH_f (0 K)	2.3	kcal/mol of atoms
data_Ta2Ni3
_chemical_formula_sum 'Ta2 Ni3'
_cell_length_a 4.101
_cell_length_b 4.101
_cell_length_c 5.009
_cell_angle_alpha 90.00
_cell_angle_beta 90.00
_cell_angle_gamma 120.00
_symmetry_space_group_name_H-M 'P 1'
_symmetry_Int_Tables_number 1
loop_
_symmetry_equiv_pos_as_xyz
'x,y,z'
loop_
_atom_site_label
_atom_site_type_symbol
_atom_site_fract_x
_atom_site_fract_y
_atom_site_fract_z
Ta1 Ta 0.333 0.667 0.198
Ta2 Ta 0.667 0.333 0.802
Ni1 Ni 0.000 0.000 0.500
Ni2 Ni 0.333 0.667 0.707
Ni3 Ni 0.667 0.333 0.293

# TaNi3 (GGA-PBEsol, optimized geometry)
# space group	Pm-3n
# ΔH_f (0 K)	-6.8	kcal/mol of atoms
data_TaNi3
_chemical_formula_sum 'Ta2 Ni6'
_cell_length_a 4.594
_cell_length_b 4.594
_cell_length_c 4.594
_cell_angle_alpha 90.00
_cell_angle_beta 90.00
_cell_angle_gamma 90.00
_symmetry_space_group_name_H-M 'P 1'
_symmetry_Int_Tables_number 1
loop_
_symmetry_equiv_pos_as_xyz
'x,y,z'
loop_
_atom_site_label
_atom_site_type_symbol
_atom_site_fract_x
_atom_site_fract_y
_atom_site_fract_z
Ta1 Ta 0.000 0.000 0.000
Ta2 Ta 0.500 0.500 0.500
Ni1 Ni 0.000 0.250 0.500
Ni2 Ni 0.000 0.750 0.500
Ni3 Ni 0.250 0.500 0.000
Ni4 Ni 0.500 0.000 0.250
Ni5 Ni 0.500 0.000 0.750
Ni6 Ni 0.750 0.500 0.000

# TaNi (GGA-PBEsol, optimized geometry)
# space group	R-3m
# ΔH_f (0 K)	-6.5	kcal/mol of atoms
data_TaNi
_chemical_formula_sum 'Ta13 Ni13'
_cell_length_a 17.811
_cell_length_b 17.811
_cell_length_c 17.811
_cell_angle_alpha 15.62
_cell_angle_beta 15.62
_cell_angle_gamma 15.62
_symmetry_space_group_name_H-M 'P 1'
_symmetry_Int_Tables_number 1
loop_
_symmetry_equiv_pos_as_xyz
'x,y,z'
loop_
_atom_site_label
_atom_site_type_symbol
_atom_site_fract_x
_atom_site_fract_y
_atom_site_fract_z
Ta1 Ta 0.000 0.000 0.000
Ta2 Ta 0.084 0.084 0.084
Ta3 Ta 0.172 0.172 0.172
Ta4 Ta 0.224 0.224 0.224
Ta5 Ta 0.274 0.274 0.274
Ta6 Ta 0.327 0.327 0.327
Ta7 Ta 0.418 0.418 0.418
Ta8 Ta 0.582 0.582 0.582
Ta9 Ta 0.673 0.673 0.673
Ta10 Ta 0.726 0.726 0.726
Ta11 Ta 0.776 0.776 0.776
Ta12 Ta 0.828 0.828 0.828
Ta13 Ta 0.916 0.916 0.916
Ni1 Ni 0.204 0.704 0.704
Ni2 Ni 0.209 0.209 0.701
Ni3 Ni 0.209 0.701 0.209
Ni4 Ni 0.296 0.296 0.796
Ni5 Ni 0.296 0.796 0.296
Ni6 Ni 0.299 0.791 0.791
Ni7 Ni 0.500 0.500 0.500
Ni8 Ni 0.701 0.209 0.209
Ni9 Ni 0.704 0.204 0.704
Ni10 Ni 0.704 0.704 0.204
Ni11 Ni 0.791 0.299 0.791
Ni12 Ni 0.791 0.791 0.299
Ni13 Ni 0.796 0.296 0.296